[1]
Compound: ZnInBiSb
Source: the Alexandria database
Functional: PBE
Structure: relaxed

Cell: 5.3470 5.3470 5.3470 Å, 60.00 60.00 60.00°
Closest atoms and distances in Å follow each position.
Positions (direct):
Sb (0.0000, 0.0000, 0.0000)  4 In 3.27, 4 Bi 3.27
Zn (0.5000, 0.5000, 0.5000)  4 Bi 3.27, 4 In 3.27
In (0.2500, 0.2500, 0.2500)  4 Sb 3.27, 4 Zn 3.27
Bi (0.7500, 0.7500, 0.7500)  4 Zn 3.27, 4 Sb 3.27

Calculated values
Spin magnetization, μB/cell: 0.00
D(E_F), states/eV per cell: 3.29
Formation energy (no corrections), eV per atom: 0.179


[2]
Compound: Sc4InBi2
Source: the Alexandria database
Functional: PBE
Structure: relaxed

Cell: 7.9790 7.9790 7.9674 Å, 108.74 108.73 111.02°
Closest atoms and distances in Å follow each position.
Positions (direct):
Bi (0.6250, 0.3749, 0.2499)  6 Sc 2.95-2.98
Bi (0.6250, 0.3750, 0.7500)  6 Sc 2.95-2.98
Bi (0.1250, 0.3751, 0.7501)  6 Sc 2.95-2.98
Bi (0.6250, 0.8750, 0.2500)  6 Sc 2.95-2.98
Sc (0.7443, 0.0554, 0.6899)  2 In 2.93-3.27, 3 Bi 2.95-2.98
Sc (0.3655, 0.0544, 0.3102)  2 In 2.93-3.27, 3 Bi 2.95-2.98
Sc (0.3055, 0.4943, 0.1899)  2 In 2.93-3.27, 3 Bi 2.95-2.98
Sc (0.9447, 0.2557, 0.3102)  2 In 2.93-3.27, 3 Bi 2.95-2.98
Sc (0.8845, 0.6956, 0.1899)  2 In 2.93-3.27, 3 Bi 2.95-2.98
Sc (0.3044, 0.1156, 0.8101)  2 In 2.93-3.27, 3 Bi 2.95-2.98
Sc (0.5057, 0.6946, 0.8101)  2 In 2.93-3.27, 3 Bi 2.95-2.98
Sc (0.9455, 0.6345, 0.6898)  2 In 2.93-3.27, 3 Bi 2.95-2.98
In (0.2500, 0.7500, 0.5000)  8 Sc 2.93-3.27
In (0.0000, 0.0000, 0.0000)  8 Sc 2.93-3.27

Calculated values
Energy relative to the lowest polymorph listed for this composition, eV per atom: 0.000
Spin magnetization, μB/cell: 0.00
D(E_F), states/eV per cell: 10.93
ΔE_f, eV/atom: -0.3145


[3]
Compound: ScInBi2
Source: the Alexandria database
Functional: PBE
Structure: relaxed

Cell: 4.6175 4.6175 7.2687 Å, 71.48 71.48 60.00°
Closest atoms and distances in Å follow each position.
Positions (direct):
Bi (0.0739, 0.0739, 0.7782)  3 Sc 3.08, 3 In 3.25
Bi (0.2628, 0.2628, 0.2116)  3 Sc 3.00, 3 In 3.32
Sc (0.6645, 0.6645, 0.0066)  6 Bi 3.00-3.08, 1 In 3.36
In (0.4988, 0.4988, 0.5037)  6 Bi 3.25-3.32, 1 Sc 3.36

Calculated values
Spin magnetization, μB/cell: 0.00
D(E_F), states/eV per cell: 2.83
ΔE_f, eV/atom: -0.1532


[4]
Compound: Sc2InBi2
Source: the Alexandria database
Functional: PBE
Structure: relaxed

Cell: 8.0514 8.0514 4.0604 Å, 90.00 90.00 90.00°
Closest atoms and distances in Å follow each position.
Positions (direct):
Sc (0.1436, 0.3564, 0.0000)  6 Bi 3.01-3.19, 2 In 3.09, 1 Sc 3.27
Sc (0.8564, 0.6436, 0.0000)  6 Bi 3.01-3.19, 2 In 3.09, 1 Sc 3.27
Sc (0.3564, 0.8564, 0.0000)  6 Bi 3.01-3.19, 2 In 3.09, 1 Sc 3.27
Sc (0.6436, 0.1436, 0.0000)  6 Bi 3.01-3.19, 2 In 3.09, 1 Sc 3.27
In (0.0000, 0.0000, 0.0000)  4 Sc 3.09
In (0.5000, 0.5000, 0.0000)  4 Sc 3.09
Bi (0.6617, 0.8383, 0.5000)  6 Sc 3.01-3.19
Bi (0.3383, 0.1617, 0.5000)  6 Sc 3.01-3.19
Bi (0.8383, 0.3383, 0.5000)  6 Sc 3.01-3.19
Bi (0.1617, 0.6617, 0.5000)  6 Sc 3.01-3.19

Calculated values
Energy relative to the lowest polymorph listed for this composition, eV per atom: 0.000
Spin magnetization, μB/cell: 0.88
D(E_F), states/eV per cell: 8.23
ΔE_f, eV/atom: -0.3995


[5]
Compound: Sc4InBi
Source: the Alexandria database
Functional: PBE
Structure: relaxed

Cell: 5.7764 6.9709 8.4237 Å, 98.75 110.05 90.00°
Closest atoms and distances in Å follow each position.
Positions (direct):
Bi (0.8769, 0.7500, 0.0000)  10 Sc 3.05-3.27
Bi (0.1231, 0.2500, 0.0000)  10 Sc 3.05-3.27
Sc (0.7011, 0.3993, 0.6957)  2 In 2.91-3.02, 2 Sc 3.10-3.19, 2 Bi 3.14-3.18
Sc (0.2989, 0.6007, 0.3043)  2 In 2.91-3.02, 2 Sc 3.10-3.19, 2 Bi 3.14-3.18
Sc (0.0054, 0.1007, 0.3043)  2 In 2.91-3.02, 2 Sc 3.10-3.19, 2 Bi 3.14-3.18
Sc (0.9946, 0.8993, 0.6957)  2 In 2.91-3.02, 2 Sc 3.10-3.19, 2 Bi 3.14-3.18
Sc (0.6913, 0.4275, 0.1402)  1 In 2.91, 4 Sc 2.94-3.19, 2 Bi 3.05-3.26
Sc (0.5511, 0.0725, 0.8598)  1 In 2.91, 4 Sc 2.94-3.19, 2 Bi 3.05-3.26
Sc (0.3087, 0.5725, 0.8598)  1 In 2.91, 4 Sc 2.94-3.19, 2 Bi 3.05-3.26
Sc (0.4489, 0.9275, 0.1402)  1 In 2.91, 4 Sc 2.94-3.19, 2 Bi 3.05-3.26
In (0.0000, 0.5000, 0.5000)  6 Sc 2.91-3.02
In (0.5000, 0.0000, 0.5000)  6 Sc 2.91-3.02

Calculated values
Spin magnetization, μB/cell: 0.00
D(E_F), states/eV per cell: 12.75
ΔE_f, eV/atom: -0.1594


[6]
Compound: ScInBi2
Source: the Alexandria database
Functional: PBE
Structure: relaxed

Cell: 4.3062 4.3062 7.9172 Å, 74.22 74.22 60.00°
Closest atoms and distances in Å follow each position.
Positions (direct):
Bi (0.7445, 0.7445, 0.7664)  3 Sc 3.04, 3 In 3.19
Bi (0.2555, 0.2555, 0.2336)  3 Sc 3.04, 3 In 3.19
Sc (0.0000, 0.0000, 0.0000)  6 Bi 3.04
In (0.5000, 0.5000, 0.5000)  6 Bi 3.19

Calculated values
Spin magnetization, μB/cell: 0.00
D(E_F), states/eV per cell: 2.86
ΔE_f, eV/atom: -0.1581


[7]
Compound: Sc5In2Bi
Source: the Alexandria database
Functional: PBE
Structure: relaxed

Cell: 7.9272 7.9272 8.2933 Å, 118.55 118.55 90.00°
Closest atoms and distances in Å follow each position.
Positions (direct):
Sc (0.4976, 0.6971, 0.6947)  3 In 2.93-3.01, 2 Bi 3.24, 1 Sc 3.27
Sc (0.5024, 0.3029, 0.3053)  3 In 2.93-3.01, 2 Bi 3.24, 1 Sc 3.27
Sc (0.0024, 0.5024, 0.3053)  3 In 2.93-3.01, 2 Bi 3.24, 1 Sc 3.27
Sc (0.0000, 0.0000, 0.0000)  4 In 3.03, 2 Bi 3.06
Sc (0.1971, 0.9976, 0.6947)  3 In 2.93-3.01, 2 Bi 3.24, 1 Sc 3.27
Sc (0.6971, 0.1971, 0.6947)  3 In 2.93-3.01, 2 Bi 3.24, 1 Sc 3.27
Sc (0.5000, 0.5000, 0.0000)  4 In 3.03, 2 Bi 3.06
Sc (0.9976, 0.4976, 0.6947)  3 In 2.93-3.01, 2 Bi 3.24, 1 Sc 3.27
Sc (0.3029, 0.8029, 0.3053)  3 In 2.93-3.01, 2 Bi 3.24, 1 Sc 3.27
Sc (0.8029, 0.0024, 0.3053)  3 In 2.93-3.01, 2 Bi 3.24, 1 Sc 3.27
Bi (0.7500, 0.7500, 0.5000)  10 Sc 3.06-3.24
Bi (0.2500, 0.2500, 0.5000)  10 Sc 3.06-3.24
In (0.8518, 0.6482, 0.0000)  8 Sc 2.93-3.03
In (0.6482, 0.1482, 0.0000)  8 Sc 2.93-3.03
In (0.3518, 0.8518, 0.0000)  8 Sc 2.93-3.03
In (0.1482, 0.3518, 0.0000)  8 Sc 2.93-3.03

Calculated values
Spin magnetization, μB/cell: 0.00
D(E_F), states/eV per cell: 15.92
ΔE_f, eV/atom: -0.4135


[8]
Compound: Sc2InBi2
Source: the Alexandria database
Functional: PBE
Structure: relaxed

Cell: 8.3816 8.3816 3.8697 Å, 90.00 90.00 90.00°
Closest atoms and distances in Å follow each position.
Positions (direct):
Bi (0.8509, 0.6491, 0.0000)  6 Sc 3.08-3.16, 2 In 3.20
Bi (0.6491, 0.1491, 0.0000)  6 Sc 3.08-3.16, 2 In 3.20
Bi (0.3509, 0.8509, 0.0000)  6 Sc 3.08-3.16, 2 In 3.20
Bi (0.1491, 0.3509, 0.0000)  6 Sc 3.08-3.16, 2 In 3.20
Sc (0.1482, 0.6482, 0.5000)  6 Bi 3.08-3.16
Sc (0.6482, 0.8518, 0.5000)  6 Bi 3.08-3.16
Sc (0.8518, 0.3518, 0.5000)  6 Bi 3.08-3.16
Sc (0.3518, 0.1482, 0.5000)  6 Bi 3.08-3.16
In (0.0000, 0.0000, 0.0000)  4 Bi 3.20
In (0.5000, 0.5000, 0.0000)  4 Bi 3.20

Calculated values
Energy relative to the lowest polymorph listed for this composition, eV per atom: 0.069
Spin magnetization, μB/cell: 0.00
D(E_F), states/eV per cell: 7.18
ΔE_f, eV/atom: -0.3307


[9]
Compound: Sc4InBi2
Source: the Alexandria database
Functional: PBE
Structure: relaxed

Cell: 5.1997 5.1997 8.5638 Å, 72.33 72.33 90.00°
Closest atoms and distances in Å follow each position.
Positions (direct):
Sc (0.8223, 0.8223, 0.3553)  1 In 2.75, 1 Bi 2.91
Sc (0.0000, 0.5000, 0.0000)  2 In 2.60
Sc (0.5000, 0.0000, 0.0000)  2 In 2.60
Sc (0.1777, 0.1777, 0.6447)  1 In 2.75, 1 Bi 2.91
In (0.0000, 0.0000, 0.0000)  6 Sc 2.60-2.75
Bi (0.6340, 0.6340, 0.7320)  1 Sc 2.91
Bi (0.3660, 0.3660, 0.2680)  1 Sc 2.91

Calculated values
Energy relative to the lowest polymorph listed for this composition, eV per atom: 0.258
Spin magnetization, μB/cell: 0.00
D(E_F), states/eV per cell: 6.07
ΔE_f, eV/atom: -0.0562


[10]
Compound: Sc2In2Bi
Source: the Alexandria database
Functional: PBE
Structure: relaxed

Cell: 8.4844 8.4844 3.5191 Å, 90.00 90.00 90.00°
Closest atoms and distances in Å follow each position.
Positions (direct):
In (0.3780, 0.8780, 0.0000)  1 In 2.93, 6 Sc 2.98-3.13
In (0.6220, 0.1220, 0.0000)  1 In 2.93, 6 Sc 2.98-3.13
In (0.8780, 0.6220, 0.0000)  1 In 2.93, 6 Sc 2.98-3.13
In (0.1220, 0.3780, 0.0000)  1 In 2.93, 6 Sc 2.98-3.13
Sc (0.1779, 0.6779, 0.5000)  6 In 2.98-3.13
Sc (0.3221, 0.1779, 0.5000)  6 In 2.98-3.13
Sc (0.8221, 0.3221, 0.5000)  6 In 2.98-3.13
Sc (0.6779, 0.8221, 0.5000)  6 In 2.98-3.13
Bi (0.5000, 0.5000, 0.0000)  4 In 3.37, 2 Bi 3.52, 8 Sc 3.58
Bi (0.0000, 0.0000, 0.0000)  4 In 3.37, 2 Bi 3.52, 8 Sc 3.58

Calculated values
Energy relative to the lowest polymorph listed for this composition, eV per atom: 0.048
Spin magnetization, μB/cell: 0.00
D(E_F), states/eV per cell: 7.50
ΔE_f, eV/atom: -0.2592


[11]
Compound: Sc2In2Bi
Source: the Alexandria database
Functional: PBE
Structure: relaxed

Cell: 7.5984 7.5984 4.5065 Å, 90.00 90.00 90.00°
Closest atoms and distances in Å follow each position.
Positions (direct):
Sc (0.1557, 0.3443, 0.0000)  2 Bi 2.87, 6 In 3.11-3.21
Sc (0.3443, 0.8443, 0.0000)  2 Bi 2.87, 6 In 3.11-3.21
Sc (0.8443, 0.6557, 0.0000)  2 Bi 2.87, 6 In 3.11-3.21
Sc (0.6557, 0.1557, 0.0000)  2 Bi 2.87, 6 In 3.11-3.21
In (0.1443, 0.6443, 0.5000)  1 In 3.10, 6 Sc 3.11-3.21
In (0.3557, 0.1443, 0.5000)  1 In 3.10, 6 Sc 3.11-3.21
In (0.6443, 0.8557, 0.5000)  1 In 3.10, 6 Sc 3.11-3.21
In (0.8557, 0.3557, 0.5000)  1 In 3.10, 6 Sc 3.11-3.21
Bi (0.5000, 0.5000, 0.0000)  4 Sc 2.87
Bi (0.0000, 0.0000, 0.0000)  4 Sc 2.87

Calculated values
Energy relative to the lowest polymorph listed for this composition, eV per atom: 0.000
Spin magnetization, μB/cell: 0.00
D(E_F), states/eV per cell: 7.88
ΔE_f, eV/atom: -0.3075


[12]
Compound: Sc2In2Bi
Source: the Alexandria database
Functional: PBE
Structure: relaxed

Cell: 4.6454 4.6454 7.2270 Å, 71.25 71.25 90.00°
Closest atoms and distances in Å follow each position.
Positions (direct):
Bi (0.0000, 0.0000, 0.0000)  8 In 3.56, 8 Sc 3.97
Sc (0.2500, 0.7500, 0.5000)  4 In 2.97, 4 Sc 3.28
Sc (0.7500, 0.2500, 0.5000)  4 In 2.97, 4 Sc 3.28
In (0.3937, 0.3937, 0.2126)  1 In 2.74, 4 Sc 2.97
In (0.6063, 0.6063, 0.7874)  1 In 2.74, 4 Sc 2.97

Calculated values
Energy relative to the lowest polymorph listed for this composition, eV per atom: 0.364
Spin magnetization, μB/cell: 0.64
D(E_F), states/eV per cell: 5.19
ΔE_f, eV/atom: 0.0562


> Among the records above, which one has the lowest D(E_F)?

number 3


> Which value of spin magnetization does entry 5 give?

0.00 μB/cell


> spin magnetization of number 4 (Sc2InBi2)?

0.88 μB/cell